1.
The following is a PBE-GGA calculation of a relaxed AcNdErHg crystal, from the Alexandria database.

- M_tot (μB/atom) = 0.00
- density of states at the Fermi level (states/eV per cell) = 6.8
- DFT formation energy (meV/atom) = 39.3

abc: 5.6243 5.6243 5.6243
angles: 60.00 60.00 60.00
With the nearest neighbours (Å) after each atom.
Element x y z (fractional)
Ac1 0.0000 0.0000 0.0000  4 Nd 3.44, 4 Er 3.44
Nd1 0.7500 0.7500 0.7500  4 Hg 3.44, 4 Ac 3.44
Er1 0.2500 0.2500 0.2500  4 Hg 3.44, 4 Ac 3.44
Hg1 0.5000 0.5000 0.5000  4 Er 3.44, 4 Nd 3.44

2.
The following is a PBE-GGA calculation of a relaxed DyNi2Ge4 crystal, from the Alexandria database.

- M_tot (μB/atom) = 0.00
- density of states at the Fermi level (states/eV per cell) = 10.9
- DFT formation energy (meV/atom) = -429.9

abc: 17.2424 4.0931 6.5871
angles: 90.00 90.00 90.00
With the nearest neighbours (Å) after each atom.
Element x y z (fractional)
Dy1 0.1402 0.2500 0.0155  8 Ge 2.92-3.11, 2 Ni 3.23
Dy2 0.3598 0.7500 0.5155  8 Ge 2.92-3.11, 2 Ni 3.23
Dy3 0.6402 0.2500 0.4845  8 Ge 2.92-3.11, 2 Ni 3.23
Dy4 0.8598 0.7500 0.9845  8 Ge 2.92-3.11, 2 Ni 3.23
Ni1 0.0337 0.7500 0.7566  7 Ge 2.41-2.64
Ni2 0.2101 0.2500 0.4836  7 Ge 2.43-2.70
Ni3 0.2899 0.7500 0.9836  7 Ge 2.43-2.70
Ni4 0.4663 0.2500 0.2566  7 Ge 2.41-2.64
Ni5 0.5337 0.7500 0.7434  7 Ge 2.41-2.64
Ni6 0.7101 0.2500 0.0164  7 Ge 2.43-2.70
Ni7 0.7899 0.7500 0.5164  7 Ge 2.43-2.70
Ni8 0.9663 0.2500 0.2434  7 Ge 2.41-2.64
Ge1 0.0280 0.7500 0.1393  3 Ni 2.41-2.52
Ge2 0.0654 0.2500 0.5179  4 Ni 2.49-2.64, 1 Ge 2.77
Ge3 0.1776 0.7500 0.6979  4 Ni 2.51-2.70, 1 Ge 2.74
Ge4 0.2022 0.7500 0.2870  3 Ni 2.43-2.51
Ge5 0.2978 0.2500 0.7870  3 Ni 2.43-2.51
Ge6 0.3224 0.2500 0.1979  4 Ni 2.51-2.70, 1 Ge 2.74
Ge7 0.4346 0.7500 0.0179  4 Ni 2.49-2.64, 1 Ge 2.77
Ge8 0.4720 0.2500 0.6393  3 Ni 2.41-2.52
Ge9 0.5280 0.7500 0.3607  3 Ni 2.41-2.52
Ge10 0.5654 0.2500 0.9821  4 Ni 2.49-2.64, 1 Ge 2.77
Ge11 0.6776 0.7500 0.8021  4 Ni 2.51-2.70, 1 Ge 2.74
Ge12 0.7022 0.7500 0.2130  3 Ni 2.43-2.51
Ge13 0.7978 0.2500 0.7130  3 Ni 2.43-2.51
Ge14 0.8224 0.2500 0.3021  4 Ni 2.51-2.70, 1 Ge 2.74
Ge15 0.9346 0.7500 0.4821  4 Ni 2.49-2.64, 1 Ge 2.77
Ge16 0.9720 0.2500 0.8607  3 Ni 2.41-2.52

3.
The following is a PBE-GGA calculation of a relaxed CaTi crystal, from the Alexandria database.

- M_tot (μB/atom) = 0.20
- density of states at the Fermi level (states/eV per cell) = 14.4
- DFT formation energy (meV/atom) = 846.6

abc: 9.7529 9.7529 9.7529
angles: 91.44 91.44 161.78
With the nearest neighbours (Å) after each atom.
Element x y z (fractional)
Ca1 0.0527 0.3233 0.3760  2 Ca 3.09, 4 Ti 3.18-3.33
Ca2 0.3233 0.9473 0.2706  2 Ca 3.09, 4 Ti 3.18-3.33
Ca3 0.6767 0.0527 0.7294  2 Ca 3.09, 4 Ti 3.18-3.33
Ca4 0.9473 0.6767 0.6240  2 Ca 3.09, 4 Ti 3.18-3.33
Ti1 0.1746 0.7669 0.9415  2 Ti 2.61
Ti2 0.2331 0.1746 0.4077  2 Ti 2.61
Ti3 0.7669 0.8254 0.5923  2 Ti 2.61
Ti4 0.8254 0.2331 0.0585  2 Ti 2.61